Entry 1:
DFT (PBE) results for a relaxed structure of Tl3InPb12.

Cell lengths 4.9059, 4.9059, 20.6632 Å; angles 90.00, 90.00, 90.00 degrees
Sites, in units of the cell vectors:
Tl: 0.0000 0.0000 0.0000
Tl: 0.0000 0.0000 0.2510
Tl: 0.0000 0.0000 0.7490
In: 0.0000 0.0000 0.5000
Pb: 0.0000 0.5000 0.1255
Pb: 0.0000 0.5000 0.3768
Pb: 0.0000 0.5000 0.6232
Pb: 0.0000 0.5000 0.8745
Pb: 0.5000 0.0000 0.1255
Pb: 0.5000 0.0000 0.3768
Pb: 0.5000 0.0000 0.6232
Pb: 0.5000 0.0000 0.8745
Pb: 0.5000 0.5000 0.0000
Pb: 0.5000 0.5000 0.2502
Pb: 0.5000 0.5000 0.5000
Pb: 0.5000 0.5000 0.7498

- D(E_F): 5.64 states/eV per cell
- Symmetry: No. 123

***

Entry 2:
DFT (PBE) results for a relaxed structure of TlInPb2.

Cell lengths 6.1116, 6.1116, 5.9571 Å; angles 99.50, 99.50, 33.51 degrees
Sites, in units of the cell vectors:
Tl: 0.0000 0.0000 0.0000
In: 0.2476 0.2476 0.7491
Pb: 0.4991 0.4991 0.5044
Pb: 0.7510 0.7510 0.2506

- D(E_F): 2.07 states/eV per cell
- Symmetry: No. 8

***

Entry 3:
DFT (PBE) results for a relaxed structure of TlInPb2.

Cell lengths 7.4254, 7.4254, 7.4254 Å; angles 152.30, 136.92, 51.99 degrees
Sites, in units of the cell vectors:
Tl: 0.0000 0.0000 0.0000
In: 0.5000 0.5000 0.0000
Pb: 0.2746 0.2746 0.0000
Pb: 0.7254 0.7254 0.0000

- D(E_F): 2.39 states/eV per cell
- Symmetry: No. 71

***

Entry 4:
DFT (PBE) results for a relaxed structure of TlIn3Pb2.

Cell lengths 5.8494, 6.4162, 9.6560 Å; angles 90.00, 90.00, 90.00 degrees
Sites, in units of the cell vectors:
Tl: 0.2500 0.0000 0.0793
Tl: 0.7500 0.0000 0.9207
In: 0.0000 0.5000 0.5000
In: 0.2500 0.2470 0.7651
In: 0.2500 0.7530 0.7651
In: 0.5000 0.5000 0.5000
In: 0.7500 0.2470 0.2349
In: 0.7500 0.7530 0.2349
Pb: 0.2500 0.0000 0.4191
Pb: 0.2500 0.5000 0.1709
Pb: 0.7500 0.0000 0.5809
Pb: 0.7500 0.5000 0.8291

- D(E_F): 6.40 states/eV per cell
- Symmetry: No. 51

***

Entry 5:
DFT (PBE) results for a relaxed structure of Tl8In6Pb.

Cell lengths 8.4846, 8.4846, 8.4846 Å; angles 62.06, 62.06, 62.06 degrees
Sites, in units of the cell vectors:
Tl: 0.0808 0.0808 0.0808
Tl: 0.1535 0.3282 0.6287
Tl: 0.3282 0.6287 0.1535
Tl: 0.3713 0.8465 0.6718
Tl: 0.6287 0.1535 0.3282
Tl: 0.6718 0.3713 0.8465
Tl: 0.8465 0.6718 0.3713
Tl: 0.9192 0.9192 0.9192
In: 0.0248 0.7828 0.5645
In: 0.2172 0.4355 0.9752
In: 0.4355 0.9752 0.2172
In: 0.5645 0.0248 0.7828
In: 0.7828 0.5645 0.0248
In: 0.9752 0.2172 0.4355
Pb: 0.5000 0.5000 0.5000

- D(E_F): 7.04 states/eV per cell
- Symmetry: No. 148

***

Entry 6:
DFT (PBE) results for a relaxed structure of TlInPb2.

Cell lengths 6.1546, 6.1546, 5.9326 Å; angles 102.00, 102.00, 33.53 degrees
Sites, in units of the cell vectors:
Tl: 0.0000 0.0000 0.0000
In: 0.5000 0.5000 0.5000
Pb: 0.2456 0.2456 0.7446
Pb: 0.7544 0.7544 0.2554

- D(E_F): 1.49 states/eV per cell
- Symmetry: No. 12

***

| no. | raw total energy (eV per atom) | ΔE_f (eV per atom) |
| --- | --- | --- |
| 1 | -3.395 | 0.001 |
| 2 | -3.123 | 0.007 |
| 3 | -3.015 | 0.116 |
| 4 | -2.927 | 0.073 |
| 5 | -2.562 | 0.042 |
| 6 | -3.125 | 0.005 |